[1]
Below is ErCuGe after structural relaxation, with properties calculated at the PBE-GGA level.

## Properties
Its formation energy is -0.350 eV/atom. The value obtained for the volume is 19.58 Å³/atom. The crystal system is orthorhombic. As for the magnetic moment: 0.000 μB per formula unit. Its density of states at the Fermi level is 23.6 states/eV/cell.

Cell: 7.621 9.937 12.407 Å, 90.00 90.00 90.00°
Space group Fddd (No. 70, origin choice 2)
One atom of each set of equivalent atoms:
Er 0.000 0.000 0.000 (multiplicity 16)
Cu 0.125 0.253 0.625 (multiplicity 16)
Ge 0.125 0.125 0.454 (multiplicity 16)

***

[2]
Below is LiHf2I8 after structural relaxation, with properties calculated at the PBE-GGA level.

## Properties
The value obtained for the uncorrected formation energy is -0.79 eV per atom. The value obtained for the volume is 54.79 Å³/atom. The crystal system is monoclinic. As for the magnetic moment: 1.048 μB per formula unit. Its density of states at the Fermi level is 6.8 states/eV/cell.

Cell: 14.391 11.071 7.567 Å, 90.00 90.95 90.00°
Space group C2/m (No. 12)
One atom of each set of equivalent atoms:
Li 0.000 0.000 0.000 (multiplicity 2)
Hf 0.195 0.000 0.348 (multiplicity 4)
I 0.102 0.188 0.195 (multiplicity 8)
I 0.125 0.500 0.740 (multiplicity 4)
I 0.177 0.000 0.703 (multiplicity 4)

***

[3]
Below is HfMnFe2 after structural relaxation, with properties calculated at the PBE-GGA level.

## Properties
Its formation energy is -0.027 eV/atom. The value obtained for the volume is 13.53 Å³/atom. The crystal system is cubic. As for the magnetic moment: 4.966 μB per formula unit. Its density of states at the Fermi level is 16.6 states/eV/cell.

Cell: 6.005 6.005 6.005 Å, 90.00 90.00 90.00°
Space group Fm-3m (No. 225)
One atom of each set of equivalent atoms:
Hf 0.000 0.000 0.000 (multiplicity 4)
Mn 0.000 0.000 0.500 (multiplicity 4)
Fe 0.250 0.250 0.250 (multiplicity 8)

***

[4]
Below is PaInGeIr after structural relaxation, with properties calculated at the PBE-GGA level.

## Properties
Its formation energy is -0.312 eV/atom. The value obtained for the volume is 22.69 Å³/atom. The crystal system is orthorhombic. As for the magnetic moment: 0.000 μB per formula unit. Its density of states at the Fermi level is 3.7 states/eV/cell.

Cell: 3.470 4.056 6.448 Å, 90.00 90.00 90.00°
Space group Pmm2 (No. 25)
One atom of each set of equivalent atoms:
Pa 0.000 0.000 0.000 (multiplicity 1)
In 0.500 0.000 0.473 (multiplicity 1)
Ge 0.500 0.500 0.762 (multiplicity 1)
Ir 0.500 0.500 0.163 (multiplicity 1)

***

[5]
Below is KMgCd2In4 after structural relaxation, with properties calculated at the PBE-GGA level.

## Properties
Its formation energy is -0.043 eV/atom. The value obtained for the volume is 29.35 Å³/atom. The crystal system is trigonal. As for the magnetic moment: 0.000 μB per formula unit. Its density of states at the Fermi level is 9.4 states/eV/cell.

Cell: 5.0164 5.0164 32.3227 Å, 90.00 90.00 120.00°
Space group R-3m (No. 166, hexagonal axes)
One atom of each set of equivalent atoms:
K 0.0000 0.0000 0.0000 (multiplicity 3)
Mg 0.0000 0.0000 0.5000 (multiplicity 3)
Cd 0.0000 0.0000 0.2388 (multiplicity 6)
In 0.0000 0.0000 0.1304 (multiplicity 6)
In 0.0000 0.0000 0.4025 (multiplicity 6)

***

[6]
Below is Zn2Sn2Au after structural relaxation, with properties calculated at the PBE-GGA level.

## Properties
Its formation energy is 0.285 eV/atom. The value obtained for the volume is 25.43 Å³/atom. The crystal system is tetragonal. As for the magnetic moment: 0.000 μB per formula unit. Its density of states at the Fermi level is 5.9 states/eV/cell.

Cell: 5.457 5.457 8.541 Å, 90.00 90.00 90.00°
Space group I4/mmm (No. 139)
One atom of each set of equivalent atoms:
Zn 0.000 0.500 0.250 (multiplicity 4)
Sn 0.000 0.000 0.179 (multiplicity 4)
Au 0.000 0.000 0.500 (multiplicity 2)

***

[7]
Below is YInAg after structural relaxation, with properties calculated at the PBE-GGA level.

## Properties
Its formation energy is -0.297 eV/atom. The value obtained for the volume is 26.23 Å³/atom. The crystal system is cubic. As for the magnetic moment: 0.000 μB per formula unit. Its density of states at the Fermi level is 17.4 states/eV/cell.

Cell: 6.802 6.802 6.802 Å, 90.00 90.00 90.00°
Space group F-43m (No. 216)
One atom of each set of equivalent atoms:
Y 0.000 0.000 0.000 (multiplicity 4)
In 0.000 0.000 0.500 (multiplicity 4)
Ag 0.250 0.250 0.250 (multiplicity 4)

***

[8]
Below is K3Tm2CrS6 after structural relaxation, with properties calculated at the PBE-GGA level.

## Properties
The value obtained for the uncorrected formation energy is -1.53 eV per atom. The value obtained for the volume is 23.87 Å³/atom. The crystal system is monoclinic. As for the magnetic moment: 2.997 μB per formula unit.

Cell: 6.721 11.644 7.660 Å, 90.00 107.11 90.00°
Space group C2/m (No. 12)
One atom of each set of equivalent atoms:
K 0.000 0.000 0.000 (multiplicity 2)
K 0.000 0.330 0.000 (multiplicity 4)
Tm 0.000 0.166 0.500 (multiplicity 4)
Cr 0.000 0.500 0.500 (multiplicity 2)
S 0.220 0.345 0.692 (multiplicity 8)
S 0.246 0.500 0.307 (multiplicity 4)

***

[9]
Below is Ca4SbCl5 after structural relaxation, with properties calculated at the PBE-GGA level.

## Properties
The value obtained for the uncorrected formation energy is -2.02 eV per atom. The value obtained for the volume is 31.16 Å³/atom. The crystal system is monoclinic. As for the magnetic moment: 0.000 μB per formula unit.

Cell: 18.049 4.257 8.428 Å, 90.00 105.74 90.00°
Space group C2/m (No. 12)
One atom of each set of equivalent atoms:
Ca 0.003 0.000 0.257 (multiplicity 4)
Ca 0.174 0.500 0.121 (multiplicity 4)
Sb 0.000 0.500 0.000 (multiplicity 2)
Cl 0.000 0.500 0.500 (multiplicity 2)
Cl 0.167 0.000 0.328 (multiplicity 4)
Cl 0.171 0.000 0.880 (multiplicity 4)

***

[10]
Below is Ga2TcAgMo after structural relaxation, with properties calculated at the PBE-GGA level.

## Properties
Its formation energy is 1.193 eV/atom. The value obtained for the volume is 22.32 Å³/atom. The crystal system is tetragonal. As for the magnetic moment: 3.764 μB per formula unit. Its density of states at the Fermi level is 4.2 states/eV/cell.

Cell: 4.688 4.688 5.080 Å, 90.00 90.00 90.00°
Space group P4/mmm (No. 123)
One atom of each set of equivalent atoms:
Ga 0.000 0.500 0.000 (multiplicity 2)
Tc 0.000 0.000 0.000 (multiplicity 1)
Ag 0.000 0.000 0.500 (multiplicity 1)
Mo 0.500 0.500 0.500 (multiplicity 1)

***

[11]
Below is Co3Pt2 after structural relaxation, with properties calculated at the PBE-GGA level.

## Properties
Its formation energy is 0.108 eV/atom. The value obtained for the volume is 13.78 Å³/atom. The crystal system is orthorhombic. As for the magnetic moment: 6.395 μB per formula unit. Its density of states at the Fermi level is 20.2 states/eV/cell.

Cell: 4.710 7.607 7.690 Å, 90.00 90.00 90.00°
Space group Cmce (No. 64)
One atom of each set of equivalent atoms:
Co 0.000 0.000 0.000 (multiplicity 4)
Co 0.250 0.094 0.250 (multiplicity 8)
Pt 0.000 0.162 0.563 (multiplicity 8)

***

[12]
Below is Li7OF5 after structural relaxation, with properties calculated at the PBE-GGA level.

## Properties
The value obtained for the uncorrected formation energy is -2.64 eV per atom. The value obtained for the volume is 8.67 Å³/atom. The crystal system is orthorhombic. As for the magnetic moment: 0.000 μB per formula unit. Its density of states at the Fermi level is 0.0 states/eV/cell.

Cell: 2.866 9.562 16.446 Å, 90.00 90.00 90.00°
Space group Cmc2_1 (No. 36)
One atom of each set of equivalent atoms:
Li 0.000 0.073 0.000 (multiplicity 4)
Li 0.000 0.134 0.287 (multiplicity 4)
Li 0.000 0.134 0.713 (multiplicity 4)
Li 0.000 0.302 0.068 (multiplicity 4)
Li 0.000 0.302 0.932 (multiplicity 4)
Li 0.000 0.408 0.635 (multiplicity 4)
Li 0.000 0.409 0.365 (multiplicity 4)
O 0.000 0.297 0.500 (multiplicity 4)
F 0.000 0.040 0.599 (multiplicity 4)
F 0.000 0.041 0.401 (multiplicity 4)
F 0.000 0.226 0.824 (multiplicity 4)
F 0.000 0.227 0.176 (multiplicity 4)
F 0.000 0.500 0.250 (multiplicity 4)

***

| no. | total energy (eV/atom) |
| --- | --- |
| 1 | -4.7750 |
| 2 | -3.9024 |
| 3 | -9.0391 |
| 4 | -6.7401 |
| 5 | -1.9776 |
| 6 | -2.4812 |
| 7 | -4.3150 |
| 8 | -5.4170 |
| 9 | -4.1569 |
| 10 | -4.8274 |
| 11 | -6.5720 |
| 12 | -4.7758 |